[1]
Density functional theory data (GGA-PBE) for Ta2CrBr after structural relaxation. Values from VASP.

Structure (Quantum ESPRESSO input):
```
&SYSTEM
  ibrav = 0, nat = 8, ntyp = 3
/
ATOMIC_SPECIES
Cr 52.00 Cr.upf
Br 79.90 Br.upf
Ta 180.95 Ta.upf
ATOMIC_POSITIONS angstrom
Cr -0.042 -2.684 2.459
Cr 3.761 -4.601 3.125
Br 0.000 0.000 0.000
Br 2.765 -2.228 5.698
Ta 1.197 -1.169 3.747
Ta 2.045 -3.587 1.894
Ta 4.994 -3.471 4.765
Ta 4.816 -5.431 7.240
CELL_PARAMETERS angstrom
-1.038 -0.310 5.032
0.954 -5.057 -0.115
6.610 -1.462 3.906
```

Results
volume: 92 Å³/f.u.
space group: I-42d
energy: -7.409 eV/atom
excess energy over the best structure of this formula in the dataset: 1038 meV per atom
ΔE_f (raw): 1.3413 eV per atom

---

[2]
Density functional theory data (GGA-PBE) for Ta2CrBr after structural relaxation. Values from VASP.

Structure (Quantum ESPRESSO input):
```
&SYSTEM
  ibrav = 0, nat = 4, ntyp = 3
/
ATOMIC_SPECIES
Br 79.90 Br.upf
Cr 52.00 Cr.upf
Ta 180.95 Ta.upf
ATOMIC_POSITIONS angstrom
Br 3.513 2.343 0.000
Cr 2.559 -0.031 1.445
Ta 0.000 0.000 0.000
Ta 0.955 2.374 1.445
CELL_PARAMETERS angstrom
5.117 -0.062 0.000
1.909 4.748 0.000
-3.513 -2.343 2.891
```

Results
volume: 71 Å³/f.u.
space group: I-4m2
energy: -7.836 eV/atom
excess energy over the best structure of this formula in the dataset: 611 meV per atom
ΔE_f (raw): 0.9144 eV per atom

---

Question: Among the records above, which one has the highest volume?
Answer: number 1

---

Question: What is the formula in the first record?
Answer: Ta2CrBr

---

Question: The lowest excess energy over the best structure of this formula in the dataset belongs to which entry?
Answer: number 2

---

Question: Number 2 is which compound?
Answer: Ta2CrBr